# La4SmTc | the Alexandria database | PBE | relaxed
data_La4SmTc
_chemical_formula_sum 'La16 Sm4 Tc4'
_symmetry_space_group_name_H-M 'C 1 2/c 1'
_symmetry_Int_Tables_number 15
_symmetry_space_group_name_Hall '-C 2yc'
_cell_length_a 7.6521
_cell_length_b 12.0573
_cell_length_c 9.4466
_cell_angle_alpha 90.00
_cell_angle_beta 107.64
_cell_angle_gamma 90.00
loop_
_atom_site_label
_atom_site_fract_x
_atom_site_fract_y
_atom_site_fract_z
La1 0.0469 0.1369 0.4487
La2 0.1444 0.4189 0.1407
Sm1 0.0000 0.2975 0.7500
Tc1 0.0000 0.0501 0.7500
# M_tot   0.00 μB/f.u.
# Crystal system   monoclinic
# Energy of formation from the pure elements   0.056 eV/atom
# Volume   830.59 Å³ per cell



# LaSm2Tc | the Alexandria database | PBE | relaxed
data_LaSm2Tc
_chemical_formula_sum 'La4 Sm8 Tc4'
_symmetry_space_group_name_H-M 'P n m a'
_symmetry_Int_Tables_number 62
_symmetry_space_group_name_Hall '-P 2ac 2n'
_cell_length_a 7.4142
_cell_length_b 9.6273
_cell_length_c 6.5937
_cell_angle_alpha 90.00
_cell_angle_beta 90.00
_cell_angle_gamma 90.00
loop_
_atom_site_label
_atom_site_fract_x
_atom_site_fract_y
_atom_site_fract_z
La1 0.0581 0.2500 0.1312
Sm1 0.1748 0.0670 0.6660
Tc1 0.1233 0.7500 0.4768
# M_tot   0.00 μB/f.u.
# Offset from the most stable computed form   0.000 eV per atom
# Crystal system   orthorhombic
# Energy of formation from the pure elements   -0.043 eV/atom
# Volume   470.64 Å³ per cell



# La3SmTc | the Alexandria database | PBE | relaxed
data_La3SmTc
_chemical_formula_sum 'La12 Sm4 Tc4'
_symmetry_space_group_name_H-M 'P 1 2/c 1'
_symmetry_Int_Tables_number 13
_symmetry_space_group_name_Hall '-P 2yc'
_cell_length_a 7.2020
_cell_length_b 6.9707
_cell_length_c 13.1158
_cell_angle_alpha 90.00
_cell_angle_beta 91.47
_cell_angle_gamma 90.00
loop_
_atom_site_label
_atom_site_fract_x
_atom_site_fract_y
_atom_site_fract_z
La1 0.1134 0.2500 0.4527
La2 0.2495 0.0032 0.2159
La3 0.3835 0.2604 0.9607
Sm1 0.2397 0.4901 0.7152
Tc1 0.0690 0.2358 0.8654
# M_tot   0.00 μB/f.u.
# Offset from the most stable computed form   0.000 eV per atom
# Crystal system   monoclinic
# Energy of formation from the pure elements   0.015 eV/atom
# Volume   658.23 Å³ per cell



# La2Sm2Tc | the Alexandria database | PBE | relaxed
data_La2Sm2Tc
_chemical_formula_sum 'La8 Sm8 Tc4'
_symmetry_space_group_name_H-M 'C 1 2/m 1'
_symmetry_Int_Tables_number 12
_symmetry_space_group_name_Hall '-C 2y'
_cell_length_a 7.7688
_cell_length_b 12.3212
_cell_length_c 7.4025
_cell_angle_alpha 90.00
_cell_angle_beta 115.22
_cell_angle_gamma 90.00
loop_
_atom_site_label
_atom_site_fract_x
_atom_site_fract_y
_atom_site_fract_z
La1 0.0373 0.2288 0.2542
Sm1 0.2263 0.5000 0.8990
Sm2 0.2450 0.0000 0.5929
Tc1 0.0000 0.3702 0.5000
# M_tot   0.00 μB/f.u.
# Crystal system   monoclinic
# Energy of formation from the pure elements   -0.010 eV/atom
# Volume   641.04 Å³ per cell



# LaSm2Tc | the Alexandria database | PBE | relaxed
data_LaSm2Tc
_chemical_formula_sum 'La2 Sm4 Tc2'
_symmetry_space_group_name_H-M 'P 1 21/m 1'
_symmetry_Int_Tables_number 11
_symmetry_space_group_name_Hall '-P 2yb'
_cell_length_a 4.0102
_cell_length_b 9.5773
_cell_length_c 6.4973
_cell_angle_alpha 90.00
_cell_angle_beta 107.97
_cell_angle_gamma 90.00
loop_
_atom_site_label
_atom_site_fract_x
_atom_site_fract_y
_atom_site_fract_z
La1 0.0801 0.2500 0.1610
Sm1 0.3529 0.0731 0.7055
Tc1 0.2656 0.7500 0.5311
# M_tot   0.00 μB/f.u.
# Offset from the most stable computed form   0.015 eV per atom
# Crystal system   monoclinic
# Energy of formation from the pure elements   -0.028 eV/atom
# Volume   237.37 Å³ per cell



# La3SmTc | the Alexandria database | PBE | relaxed
data_La3SmTc
_chemical_formula_sum 'La3 Sm1 Tc1'
_symmetry_space_group_name_H-M 'P m -3 m'
_symmetry_Int_Tables_number 221
_symmetry_space_group_name_Hall '-P 4 2 3'
_cell_length_a 5.5627
_cell_length_b 5.5627
_cell_length_c 5.5627
_cell_angle_alpha 90.00
_cell_angle_beta 90.00
_cell_angle_gamma 90.00
loop_
_atom_site_label
_atom_site_fract_x
_atom_site_fract_y
_atom_site_fract_z
La1 0.0000 0.0000 0.5000
Sm1 0.5000 0.5000 0.5000
Tc1 0.0000 0.0000 0.0000
# M_tot   0.00 μB/f.u.
# Offset from the most stable computed form   0.078 eV per atom
# Crystal system   cubic
# Energy of formation from the pure elements   0.093 eV/atom
# Volume   172.13 Å³ per cell



# LaSmZnTc | the Alexandria database | PBE | relaxed
data_LaSmZnTc
_chemical_formula_sum 'La4 Sm4 Zn4 Tc4'
_symmetry_space_group_name_H-M 'F -4 3 m'
_symmetry_Int_Tables_number 216
_symmetry_space_group_name_Hall 'F -4 2 3'
_cell_length_a 7.2095
_cell_length_b 7.2095
_cell_length_c 7.2095
_cell_angle_alpha 90.00
_cell_angle_beta 90.00
_cell_angle_gamma 90.00
loop_
_atom_site_label
_atom_site_fract_x
_atom_site_fract_y
_atom_site_fract_z
La1 0.0000 0.0000 0.0000
Sm1 0.0000 0.0000 0.5000
Zn1 0.2500 0.2500 0.2500
Tc1 0.2500 0.2500 0.7500
# M_tot   0.00 μB/f.u.
# Crystal system   cubic
# Energy of formation from the pure elements   -0.036 eV/atom
# Volume   374.73 Å³ per cell



# La2SmTe4 | the Alexandria database | PBE | relaxed
data_La2SmTe4
_chemical_formula_sum 'La8 Sm4 Te16'
_symmetry_space_group_name_H-M 'C m c m'
_symmetry_Int_Tables_number 63
_symmetry_space_group_name_Hall '-C 2c 2'
_cell_length_a 4.3734
_cell_length_b 15.1494
_cell_length_c 15.3898
_cell_angle_alpha 90.00
_cell_angle_beta 90.00
_cell_angle_gamma 90.00
loop_
_atom_site_label
_atom_site_fract_x
_atom_site_fract_y
_atom_site_fract_z
La1 0.0000 0.1317 0.0720
Sm1 0.0000 0.3719 0.2500
Te1 0.0000 0.0229 0.2500
Te2 0.0000 0.2195 0.6252
Te3 0.0000 0.5000 0.0000
# M_tot   0.00 μB/f.u.
# Energy relative to the elements, uncorrected   -10.37 eV/f.u.
# Offset from the most stable computed form   0.047 eV per atom
# Crystal system   orthorhombic
# Volume   1019.63 Å³ per cell



# LaSmTe | the Alexandria database | PBE | relaxed
data_LaSmTe
_chemical_formula_sum 'La8 Sm8 Te8'
_symmetry_space_group_name_H-M 'C 1 2/m 1'
_symmetry_Int_Tables_number 12
_symmetry_space_group_name_Hall '-C 2y'
_cell_length_a 17.3008
_cell_length_b 4.1230
_cell_length_c 11.3895
_cell_angle_alpha 90.00
_cell_angle_beta 93.64
_cell_angle_gamma 90.00
loop_
_atom_site_label
_atom_site_fract_x
_atom_site_fract_y
_atom_site_fract_z
La1 0.0299 0.0000 0.3560
La2 0.1102 0.5000 0.8511
Sm1 0.1950 0.0000 0.0870
Sm2 0.2502 0.0000 0.6500
Te1 0.0773 0.5000 0.1613
Te2 0.1155 0.5000 0.5529
# M_tot   0.00 μB/f.u.
# Energy relative to the elements, uncorrected   -2.49 eV/f.u.
# Offset from the most stable computed form   0.000 eV per atom
# Crystal system   monoclinic
# Volume   810.79 Å³ per cell



# LaSm2Te5 | the Alexandria database | PBE | relaxed
data_LaSm2Te5
_chemical_formula_sum 'La4 Sm8 Te20'
_symmetry_space_group_name_H-M 'I 4/m c m'
_symmetry_Int_Tables_number 140
_symmetry_space_group_name_Hall '-I 4 2c'
_cell_length_a 8.3174
_cell_length_b 8.3174
_cell_length_c 14.3595
_cell_angle_alpha 90.00
_cell_angle_beta 90.00
_cell_angle_gamma 90.00
loop_
_atom_site_label
_atom_site_fract_x
_atom_site_fract_y
_atom_site_fract_z
La1 0.0000 0.0000 0.2500
Sm1 0.1519 0.3481 0.0000
Te1 0.0000 0.0000 0.0000
Te2 0.1550 0.3450 0.3516
# M_tot   0.00 μB/f.u.
# Energy relative to the elements, uncorrected   -10.56 eV/f.u.
# Crystal system   tetragonal
# Volume   993.38 Å³ per cell



# LaSm3Te4 | the Alexandria database | PBE | relaxed
data_LaSm3Te4
_chemical_formula_sum 'La2 Sm6 Te8'
_symmetry_space_group_name_H-M 'C m m m'
_symmetry_Int_Tables_number 65
_symmetry_space_group_name_Hall '-C 2 2'
_cell_length_a 9.0435
_cell_length_b 12.6712
_cell_length_c 4.4360
_cell_angle_alpha 90.00
_cell_angle_beta 90.00
_cell_angle_gamma 90.00
loop_
_atom_site_label
_atom_site_fract_x
_atom_site_fract_y
_atom_site_fract_z
La1 0.0000 0.0000 0.0000
Sm1 0.0000 0.5000 0.0000
Sm2 0.2500 0.2500 0.5000
Te1 0.0000 0.2530 0.0000
Te2 0.2438 0.5000 0.5000
# M_tot   0.00 μB/f.u.
# Energy relative to the elements, uncorrected   -11.48 eV/f.u.
# Offset from the most stable computed form   0.000 eV per atom
# Crystal system   orthorhombic
# Volume   508.33 Å³ per cell



# La2SmTe3 | the Alexandria database | PBE | relaxed
data_La2SmTe3
_chemical_formula_sum 'La32 Sm16 Te48'
_symmetry_space_group_name_H-M 'F d d d'
_symmetry_Int_Tables_number 70
_cell_length_a 9.1560
_cell_length_b 12.8213
_cell_length_c 26.9712
_cell_angle_alpha 90.00
_cell_angle_beta 90.00
_cell_angle_gamma 90.00
loop_
_symmetry_equiv_pos_as_xyz
'x,y,z'
'-x,-y,-z'
'-x+1/4,-y+1/4,z'
'x+1/4,y+1/4,-z'
'x,-y+1/4,-z+1/4'
'-x,y+1/4,z+1/4'
'-x+1/4,y,-z+1/4'
'x+1/4,-y,z+1/4'
'x,y+1/2,z+1/2'
'-x,-y+1/2,-z+1/2'
'-x+1/4,-y+3/4,z+1/2'
'x+1/4,y+3/4,-z+1/2'
'x,-y+3/4,-z+3/4'
'-x,y+3/4,z+3/4'
'-x+1/4,y+1/2,-z+3/4'
'x+1/4,-y+1/2,z+3/4'
'x+1/2,y,z+1/2'
'-x+1/2,-y,-z+1/2'
'-x+3/4,-y+1/4,z+1/2'
'x+3/4,y+1/4,-z+1/2'
'x+1/2,-y+1/4,-z+3/4'
'-x+1/2,y+1/4,z+3/4'
'-x+3/4,y,-z+3/4'
'x+3/4,-y,z+3/4'
'x+1/2,y+1/2,z'
'-x+1/2,-y+1/2,-z'
'-x+3/4,-y+3/4,z'
'x+3/4,y+3/4,-z'
'x+1/2,-y+3/4,-z+1/4'
'-x+1/2,y+3/4,z+1/4'
'-x+3/4,y+1/2,-z+1/4'
'x+3/4,-y+1/2,z+1/4'
loop_
_atom_site_label
_atom_site_fract_x
_atom_site_fract_y
_atom_site_fract_z
La1 0.1250 0.1250 0.0427
La2 0.1250 0.1250 0.3741
Sm1 0.1250 0.1250 0.5420
Te1 0.1176 0.3750 0.8750
Te2 0.1212 0.3719 0.7096
# M_tot   0.00 μB/f.u.
# Energy relative to the elements, uncorrected   -9.16 eV/f.u.
# Offset from the most stable computed form   0.000 eV per atom
# Crystal system   orthorhombic
# Volume   3166.18 Å³ per cell



# LaSmTe2 | the Alexandria database | PBE | relaxed
data_LaSmTe2
_chemical_formula_sum 'La2 Sm2 Te4'
_symmetry_space_group_name_H-M 'C 1 2/m 1'
_symmetry_Int_Tables_number 12
_symmetry_space_group_name_Hall '-C 2y'
_cell_length_a 7.8341
_cell_length_b 4.5149
_cell_length_c 7.7942
_cell_angle_alpha 90.00
_cell_angle_beta 109.49
_cell_angle_gamma 90.00
loop_
_atom_site_label
_atom_site_fract_x
_atom_site_fract_y
_atom_site_fract_z
La1 0.0000 0.0000 0.0000
Sm1 0.0000 0.5000 0.5000
Te1 0.2469 0.0000 0.7407
# M_tot   0.00 μB/f.u.
# Energy relative to the elements, uncorrected   -5.98 eV/f.u.
# Offset from the most stable computed form   0.000 eV per atom
# Crystal system   monoclinic
# Volume   259.88 Å³ per cell



# LaSm4Te7 | the Alexandria database | PBE | relaxed
data_LaSm4Te7
_chemical_formula_sum 'La2 Sm8 Te14'
_symmetry_space_group_name_H-M 'C 1 m 1'
_symmetry_Int_Tables_number 8
_symmetry_space_group_name_Hall 'C -2y'
_cell_length_a 14.7144
_cell_length_b 4.3376
_cell_length_c 13.4724
_cell_angle_alpha 90.00
_cell_angle_beta 104.34
_cell_angle_gamma 90.00
loop_
_atom_site_label
_atom_site_fract_x
_atom_site_fract_y
_atom_site_fract_z
La1 0.0000 0.0000 0.0000
Sm1 0.1155 0.0000 0.4245
Sm2 0.2304 0.0000 0.8427
Sm3 0.3164 0.5000 0.2377
Sm4 0.4139 0.0000 0.6095
Te1 0.0754 0.0000 0.6388
Te2 0.1175 0.5000 0.9191
Te3 0.1560 0.0000 0.2104
Te4 0.2761 0.5000 0.4709
Te5 0.3553 0.5000 0.7681
Te6 0.3678 0.0000 0.0745
Te7 0.4551 0.0000 0.3756
# M_tot   0.00 μB/f.u.
# Energy relative to the elements, uncorrected   -17.27 eV/f.u.
# Crystal system   monoclinic
# Volume   833.08 Å³ per cell



# La5Sm3Te8 | the Alexandria database | PBE | relaxed
data_La5Sm3Te8
_chemical_formula_sum 'La15 Sm9 Te24'
_symmetry_space_group_name_H-M 'R -3 m'
_symmetry_Int_Tables_number 166
_symmetry_space_group_name_Hall '-R 3 2"'
_cell_length_a 9.0563
_cell_length_b 9.0563
_cell_length_c 22.2243
_cell_angle_alpha 90.00
_cell_angle_beta 90.00
_cell_angle_gamma 120.00
loop_
_atom_site_label
_atom_site_fract_x
_atom_site_fract_y
_atom_site_fract_z
La1 0.0000 0.0000 0.0000
La2 0.0000 0.0000 0.5000
La3 0.0000 0.5000 0.0000
Sm1 0.0000 0.5000 0.5000
Te1 0.0000 0.0000 0.2469
Te2 0.0042 0.5021 0.7521
# M_tot   0.00 μB/f.u.
# Energy relative to the elements, uncorrected   -24.23 eV/f.u.
# Crystal system   trigonal
# Volume   1578.55 Å³ per cell



# LaSm4Te5 | the Alexandria database | PBE | relaxed
data_LaSm4Te5
_chemical_formula_sum 'La2 Sm8 Te10'
_symmetry_space_group_name_H-M 'C 1 2/m 1'
_symmetry_Int_Tables_number 12
_symmetry_space_group_name_Hall '-C 2y'
_cell_length_a 14.8353
_cell_length_b 4.4738
_cell_length_c 10.9524
_cell_angle_alpha 90.00
_cell_angle_beta 119.57
_cell_angle_gamma 90.00
loop_
_atom_site_label
_atom_site_fract_x
_atom_site_fract_y
_atom_site_fract_z
La1 0.0000 0.0000 0.0000
Sm1 0.0976 0.5000 0.3981
Sm2 0.2012 0.0000 0.7966
Te1 0.0000 0.0000 0.5000
Te2 0.1046 0.5000 0.8982
Te3 0.2019 0.0000 0.3064
# M_tot   0.00 μB/f.u.
# Energy relative to the elements, uncorrected   -14.27 eV/f.u.
# Offset from the most stable computed form   0.000 eV per atom
# Crystal system   monoclinic
# Volume   632.21 Å³ per cell



# La2SmTe | the Alexandria database | PBE | relaxed
data_La2SmTe
_chemical_formula_sum 'La2 Sm1 Te1'
_symmetry_space_group_name_H-M 'P 4/m m m'
_symmetry_Int_Tables_number 123
_symmetry_space_group_name_Hall '-P 4 2'
_cell_length_a 4.0212
_cell_length_b 4.0212
_cell_length_c 8.3680
_cell_angle_alpha 90.00
_cell_angle_beta 90.00
_cell_angle_gamma 90.00
loop_
_atom_site_label
_atom_site_fract_x
_atom_site_fract_y
_atom_site_fract_z
La1 0.0000 0.0000 0.2180
Sm1 0.5000 0.5000 0.5000
Te1 0.5000 0.5000 0.0000
# M_tot   0.00 μB/f.u.
# Energy relative to the elements, uncorrected   -2.47 eV/f.u.
# Offset from the most stable computed form   0.000 eV per atom
# Crystal system   tetragonal
# Volume   135.31 Å³ per cell



# LaSmTe2 | the Alexandria database | PBE | relaxed
data_LaSmTe2
_chemical_formula_sum 'La2 Sm2 Te4'
_symmetry_space_group_name_H-M 'P 63/m m c'
_symmetry_Int_Tables_number 194
_symmetry_space_group_name_Hall '-P 6c 2c'
_cell_length_a 4.4224
_cell_length_b 4.4224
_cell_length_c 15.3387
_cell_angle_alpha 90.00
_cell_angle_beta 90.00
_cell_angle_gamma 120.00
loop_
_atom_site_label
_atom_site_fract_x
_atom_site_fract_y
_atom_site_fract_z
La1 0.3333 0.6667 0.2500
Sm1 0.0000 0.0000 0.0000
Te1 0.3333 0.6667 0.6194
# M_tot   0.00 μB/f.u.
# Energy relative to the elements, uncorrected   -5.91 eV/f.u.
# Offset from the most stable computed form   0.017 eV per atom
# Crystal system   hexagonal
# Volume   259.80 Å³ per cell



# LaSm3Te4 | the Alexandria database | PBE | relaxed
data_LaSm3Te4
_chemical_formula_sum 'La2 Sm6 Te8'
_symmetry_space_group_name_H-M 'P 63/m m c'
_symmetry_Int_Tables_number 194
_symmetry_space_group_name_Hall '-P 6c 2c'
_cell_length_a 4.4216
_cell_length_b 4.4216
_cell_length_c 30.0372
_cell_angle_alpha 90.00
_cell_angle_beta 90.00
_cell_angle_gamma 120.00
loop_
_atom_site_label
_atom_site_fract_x
_atom_site_fract_y
_atom_site_fract_z
La1 0.3333 0.6667 0.2500
Sm1 0.0000 0.0000 0.0000
Sm2 0.3333 0.6667 0.6221
Te1 0.0000 0.0000 0.1832
Te2 0.3333 0.6667 0.0611
# M_tot   0.00 μB/f.u.
# Energy relative to the elements, uncorrected   -11.40 eV/f.u.
# Offset from the most stable computed form   0.010 eV per atom
# Crystal system   hexagonal
# Volume   508.58 Å³ per cell



# La2SmTe | the Alexandria database | PBE | relaxed
data_La2SmTe
_chemical_formula_sum 'La6 Sm3 Te3'
_symmetry_space_group_name_H-M 'R 3 m'
_symmetry_Int_Tables_number 160
_symmetry_space_group_name_Hall 'R 3 -2"'
_cell_length_a 4.0760
_cell_length_b 4.0760
_cell_length_c 30.3685
_cell_angle_alpha 90.00
_cell_angle_beta 90.00
_cell_angle_gamma 120.00
loop_
_atom_site_label
_atom_site_fract_x
_atom_site_fract_y
_atom_site_fract_z
La1 0.0000 0.0000 0.0000
La2 0.0000 0.0000 0.1889
Sm1 0.0000 0.0000 0.7614
Te1 0.0000 0.0000 0.5943
# M_tot   0.53 μB/f.u.
# Energy relative to the elements, uncorrected   -2.43 eV/f.u.
# Offset from the most stable computed form   0.012 eV per atom
# Crystal system   trigonal
# Volume   436.97 Å³ per cell